The following is a DFT calculation (PBE-GGA) of a geometry-optimized Y2Zn2SnRh5 structure.

The structure in POSCAR format:
```
Y2Zn2SnRh5
1.0
3.659 0.000 0.000
0.000 9.720 0.000
0.000 0.000 9.720
Y Zn Sn Rh
4 4 2 10
Cartesian
0.000 6.549 1.690
0.000 3.170 8.030
0.000 1.690 3.170
0.000 8.030 6.549
0.000 1.204 6.063
0.000 8.516 3.656
0.000 6.063 8.516
0.000 3.656 1.204
0.000 0.000 0.000
0.000 4.860 4.860
1.829 1.996 0.660
1.829 7.723 9.059
1.829 0.660 7.723
1.829 6.856 4.200
1.829 9.059 1.996
1.829 2.863 5.520
1.829 5.520 6.856
1.829 4.200 2.863
1.829 4.860 0.000
1.829 0.000 4.860
```

Properties
The value obtained for the formation enthalpy at 0 K is -63 kJ/mol of atoms. The value obtained for the density of states at the Fermi level is 0.63 states/eV/atom. The value obtained for the volume is 172.82 Å³/f.u.